1.
Computed, not measured: a relaxed TmGa4Cu2Ir crystal at the GGA-PBE level of DFT.

Geometry as POSCAR:
```
TmGa4Cu2Ir
1.0
2.085 1.204 8.787
-2.085 1.204 8.787
0.000 -2.407 8.787
Tm Ga Cu Ir
1 4 2 1
direct
0.000 0.000 0.000
0.128 0.128 0.128
0.399 0.399 0.399
0.601 0.601 0.601
0.872 0.872 0.872
0.242 0.242 0.242
0.758 0.758 0.758
0.500 0.500 0.500
```

Computed properties:
* volume: 16.5 A^3/atom
* energy of formation: -318 meV/atom


2.
Computed, not measured: a relaxed Te3IrN crystal at the GGA-PBE level of DFT.

Geometry as POSCAR:
```
Te3IrN
1.0
5.193 0.000 0.000
0.000 5.193 0.000
0.000 0.000 5.193
Te Ir N
3 1 1
direct
0.000 0.000 0.500
0.000 0.500 0.000
0.500 0.000 0.000
0.000 0.000 0.000
0.500 0.500 0.500
```

Computed properties:
* formation energy without anion corrections: 39.2 kcal/mol of atoms
* volume: 28.0 A^3/atom
* distance to the lowest polymorph of the same formula: 0.568 eV/atom


3.
Computed, not measured: a relaxed Rb2Cd2Ag crystal at the GGA-PBE level of DFT.

Geometry as POSCAR:
```
Rb2Cd2Ag
1.0
9.952 0.000 0.000
0.000 9.952 0.000
0.000 0.000 4.695
Rb Cd Ag
4 4 2
direct
0.187 0.313 0.000
0.313 0.813 0.000
0.687 0.187 0.000
0.813 0.687 0.000
0.108 0.608 0.500
0.392 0.108 0.500
0.608 0.892 0.500
0.892 0.392 0.500
0.000 0.000 0.000
0.500 0.500 0.000
```

Computed properties:
* volume: 46.5 A^3/atom
* energy of formation: 230 meV/atom
* distance to the lowest polymorph of the same formula: 0.262 eV/atom


4.
Computed, not measured: a relaxed ErSc4Al2 crystal at the GGA-PBE level of DFT.

Geometry as POSCAR:
```
ErSc4Al2
1.0
-2.651 2.651 5.972
2.651 -2.651 5.972
2.651 2.651 -5.972
Er Sc Al
1 4 2
direct
0.000 0.000 0.000
0.000 0.500 0.500
0.250 0.750 0.500
0.500 0.000 0.500
0.750 0.250 0.500
0.382 0.382 0.000
0.618 0.618 0.000
```

Computed properties:
* volume: 24.0 A^3/atom
* energy of formation: 259 meV/atom
* distance to the lowest polymorph of the same formula: 0.519 eV/atom


5.
Computed, not measured: a relaxed SrAlNi2 crystal at the GGA-PBE level of DFT.

Geometry as POSCAR:
```
SrAlNi2
1.0
-1.487 2.373 4.947
1.487 -2.373 4.947
1.487 2.373 -4.947
Sr Al Ni
1 1 2
direct
0.000 0.000 0.000
0.294 0.794 0.500
0.501 0.501 0.000
0.713 0.213 0.500
```

Computed properties:
* volume: 17.5 A^3/atom
* energy of formation: 118 meV/atom


6.
Computed, not measured: a relaxed LiFe2Si crystal at the GGA-PBE level of DFT.

Geometry as POSCAR:
```
LiFe2Si
1.0
2.513 0.000 0.000
0.000 3.645 0.000
0.000 0.000 5.034
Li Fe Si
1 2 1
direct
0.000 0.000 0.000
0.500 0.500 0.259
0.500 0.500 0.741
0.000 0.000 0.500
```

Computed properties:
* formation energy without anion corrections: -0.8 kcal/mol of atoms
* volume: 11.5 A^3/atom


7.
Computed, not measured: a relaxed Ca3PuU2As6 crystal at the GGA-PBE level of DFT.

Geometry as POSCAR:
```
Ca3PuU2As6
1.0
3.620 -6.270 0.000
3.620 6.270 0.000
-2.414 0.000 6.817
Ca Pu U As
3 1 2 6
direct
0.000 0.000 0.000
0.335 0.665 0.000
0.665 0.335 0.000
0.500 0.500 0.500
0.167 0.833 0.500
0.833 0.167 0.500
0.083 0.423 0.271
0.236 0.236 0.730
0.423 0.083 0.271
0.577 0.917 0.729
0.764 0.764 0.270
0.917 0.577 0.729
```

Computed properties:
* volume: 25.8 A^3/atom
* energy of formation: -1009 meV/atom


8.
Computed, not measured: a relaxed ZrReAs4 crystal at the GGA-PBE level of DFT.

Geometry as POSCAR:
```
ZrReAs4
1.0
0.000 3.798 3.798
3.798 0.000 3.798
3.798 3.798 0.000
Zr Re As
1 1 4
direct
0.000 0.000 0.000
0.250 0.250 0.250
0.126 0.625 0.625
0.625 0.126 0.625
0.625 0.625 0.126
0.625 0.625 0.625
```

Computed properties:
* volume: 18.3 A^3/atom
* energy of formation: 642 meV/atom


9.
Computed, not measured: a relaxed MgScNi crystal at the GGA-PBE level of DFT.

Geometry as POSCAR:
```
MgScNi
1.0
4.656 0.000 0.000
-2.328 4.032 0.000
0.000 0.000 5.581
Mg Sc Ni
2 2 2
direct
0.000 0.000 0.000
0.000 0.000 0.500
0.333 0.667 0.250
0.667 0.333 0.750
0.333 0.667 0.750
0.667 0.333 0.250
```

Computed properties:
* volume: 17.5 A^3/atom
* energy of formation: -266 meV/atom


10.
Computed, not measured: a relaxed Ca2PmHo crystal at the GGA-PBE level of DFT.

Geometry as POSCAR:
```
Ca2PmHo
1.0
5.861 0.000 0.000
0.000 5.861 0.000
0.000 0.000 4.184
Ca Pm Ho
2 1 1
direct
0.000 0.500 0.000
0.500 0.000 0.000
0.000 0.000 0.500
0.500 0.500 0.500
```

Computed properties:
* volume: 35.9 A^3/atom
* energy of formation: 166 meV/atom
* distance to the lowest polymorph of the same formula: 0.116 eV/atom


11.
Computed, not measured: a relaxed K2LaP crystal at the GGA-PBE level of DFT.

Geometry as POSCAR:
```
K2LaP
1.0
3.486 0.000 0.000
0.000 3.486 0.000
0.000 0.000 12.217
K La P
2 1 1
direct
0.000 0.000 0.172
0.000 0.000 0.828
0.500 0.500 0.500
0.500 0.500 0.000
```

Computed properties:
* volume: 37.1 A^3/atom
* energy of formation: 299 meV/atom


12.
Computed, not measured: a relaxed Ce2SnHg crystal at the GGA-PBE level of DFT.

Geometry as POSCAR:
```
Ce2SnHg
1.0
5.004 0.000 0.000
0.000 5.004 0.000
0.000 0.000 4.416
Ce Sn Hg
2 1 1
direct
0.000 0.500 0.000
0.500 0.000 0.000
0.000 0.000 0.500
0.500 0.500 0.500
```

Computed properties:
* volume: 27.6 A^3/atom
* energy of formation: -456 meV/atom


13.
Computed, not measured: a relaxed MnZn2Re crystal at the GGA-PBE level of DFT.

Geometry as POSCAR:
```
MnZn2Re
1.0
0.000 2.986 2.986
2.986 0.000 2.986
2.986 2.986 0.000
Mn Zn Re
1 2 1
direct
0.000 0.000 0.000
0.250 0.250 0.250
0.750 0.750 0.750
0.500 0.500 0.500
```

Computed properties:
* volume: 13.3 A^3/atom
* energy of formation: 544 meV/atom
* distance to the lowest polymorph of the same formula: 0.488 eV/atom


14.
Computed, not measured: a relaxed SrCaHf2Zr crystal at the GGA-PBE level of DFT.

Geometry as POSCAR:
```
SrCaHf2Zr
1.0
5.385 0.000 0.000
0.000 5.385 0.000
0.000 0.000 5.312
Sr Ca Hf Zr
1 1 2 1
direct
0.000 0.000 0.000
0.500 0.500 0.500
0.000 0.500 0.500
0.500 0.000 0.500
0.500 0.500 0.000
```

Computed properties:
* volume: 30.8 A^3/atom
* energy of formation: 1479 meV/atom


15.
Computed, not measured: a relaxed Ac2CeGe3Ir4 crystal at the GGA-PBE level of DFT.

Geometry as POSCAR:
```
Ac2CeGe3Ir4
1.0
4.356 0.000 0.000
0.000 4.356 0.000
0.000 0.000 11.151
Ac Ce Ge Ir
2 1 3 4
direct
0.000 0.500 0.232
0.500 0.000 0.768
0.000 0.000 0.500
0.000 0.500 0.880
0.500 0.000 0.120
0.500 0.500 0.500
0.000 0.000 0.000
0.000 0.500 0.651
0.500 0.000 0.349
0.500 0.500 0.000
```

Computed properties:
* volume: 21.2 A^3/atom
* energy of formation: -755 meV/atom


16.
Computed, not measured: a relaxed PuAl3CuAg crystal at the GGA-PBE level of DFT.

Geometry as POSCAR:
```
PuAl3CuAg
1.0
3.006 -6.432 0.000
3.006 6.432 0.000
0.000 0.000 5.909
Pu Al Cu Ag
2 6 2 2
direct
0.207 0.793 0.750
0.793 0.207 0.250
0.217 0.217 0.000
0.217 0.217 0.500
0.368 0.632 0.250
0.632 0.368 0.750
0.783 0.783 0.000
0.783 0.783 0.500
0.420 0.580 0.750
0.580 0.420 0.250
0.157 0.843 0.250
0.843 0.157 0.750
```

Computed properties:
* volume: 19.0 A^3/atom
* energy of formation: -26 meV/atom


17.
Computed, not measured: a relaxed La4Dy7Th crystal at the GGA-PBE level of DFT.

Geometry as POSCAR:
```
La4Dy7Th
1.0
6.106 -3.010 0.000
6.106 3.010 0.000
-5.996 0.000 11.444
La Dy Th
4 7 1
direct
0.058 0.058 0.337
0.360 0.360 0.222
0.640 0.640 0.778
0.942 0.942 0.663
0.000 0.000 0.000
0.211 0.211 0.924
0.258 0.258 0.689
0.362 0.362 0.494
0.638 0.638 0.506
0.742 0.742 0.311
0.789 0.789 0.076
0.500 0.500 0.000
```

Computed properties:
* volume: 35.1 A^3/atom
* energy of formation: 275 meV/atom
* distance to the lowest polymorph of the same formula: 0.259 eV/atom


18.
Computed, not measured: a relaxed BOsSN2 crystal at the GGA-PBE level of DFT.

Geometry as POSCAR:
```
BOsSN2
1.0
3.728 0.000 0.000
0.000 3.728 0.000
0.000 0.000 5.183
B Os S N
1 1 1 2
direct
0.000 0.000 0.000
0.500 0.500 0.500
0.500 0.500 0.000
0.000 0.500 0.500
0.500 0.000 0.500
```

Computed properties:
* formation energy without anion corrections: 31.7 kcal/mol of atoms
* volume: 14.4 A^3/atom
* distance to the lowest polymorph of the same formula: 0.000 eV/atom


19.
Computed, not measured: a relaxed Zr2InCl crystal at the GGA-PBE level of DFT.

Geometry as POSCAR:
```
Zr2InCl
1.0
-2.094 2.094 5.065
2.094 -2.094 5.065
2.094 2.094 -5.065
Zr In Cl
2 1 1
direct
0.000 0.000 0.000
0.750 0.250 0.500
0.500 0.500 0.000
0.250 0.750 0.500
```

Computed properties:
* formation energy without anion corrections: -0.5 kcal/mol of atoms
* volume: 22.2 A^3/atom
* distance to the lowest polymorph of the same formula: 0.561 eV/atom


20.
Computed, not measured: a relaxed CuSiBr2 crystal at the GGA-PBE level of DFT.

Geometry as POSCAR:
```
CuSiBr2
1.0
3.475 0.000 0.000
0.000 4.109 0.000
0.000 0.000 6.629
Cu Si Br
1 1 2
direct
0.000 0.000 0.000
0.500 0.000 0.500
0.000 0.500 0.500
0.500 0.500 0.000
```

Computed properties:
* formation energy without anion corrections: 9.5 kcal/mol of atoms
* volume: 23.7 A^3/atom
* distance to the lowest polymorph of the same formula: 0.511 eV/atom


21.
Computed, not measured: a relaxed PmHo2Er crystal at the GGA-PBE level of DFT.

Geometry as POSCAR:
```
PmHo2Er
1.0
3.549 0.000 0.000
0.000 3.549 0.000
0.000 0.000 10.056
Pm Ho Er
1 2 1
direct
0.000 0.000 0.000
0.500 0.500 0.255
0.500 0.500 0.745
0.000 0.000 0.500
```

Computed properties:
* volume: 31.7 A^3/atom
* energy of formation: 23 meV/atom
* distance to the lowest polymorph of the same formula: 0.006 eV/atom


22.
Computed, not measured: a relaxed TaTi3Mo2 crystal at the GGA-PBE level of DFT.

Geometry as POSCAR:
```
TaTi3Mo2
1.0
6.851 -2.267 0.000
6.851 2.267 0.000
-0.909 0.000 6.724
Ta Ti Mo
2 6 4
direct
0.154 0.154 0.277
0.846 0.846 0.723
0.069 0.069 0.841
0.311 0.311 0.030
0.387 0.387 0.435
0.613 0.613 0.565
0.689 0.689 0.970
0.931 0.931 0.159
0.231 0.231 0.660
0.463 0.463 0.821
0.537 0.537 0.179
0.769 0.769 0.340
```

Computed properties:
* volume: 17.4 A^3/atom
* energy of formation: 65 meV/atom


23.
Computed, not measured: a relaxed Re2TcSe crystal at the GGA-PBE level of DFT.

Geometry as POSCAR:
```
Re2TcSe
1.0
1.453 -2.333 0.000
1.453 2.333 0.000
0.000 0.000 9.332
Re Tc Se
2 1 1
direct
0.000 0.000 0.237
0.000 0.000 0.763
0.500 0.500 0.000
0.500 0.500 0.500
```

Computed properties:
* formation energy without anion corrections: 15.5 kcal/mol of atoms
* volume: 15.8 A^3/atom


24.
Computed, not measured: a relaxed Al2HgPt crystal at the GGA-PBE level of DFT.

Geometry as POSCAR:
```
Al2HgPt
1.0
-2.005 2.005 4.211
2.005 -2.005 4.211
2.005 2.005 -4.211
Al Hg Pt
2 1 1
direct
0.000 0.000 0.000
0.750 0.250 0.500
0.250 0.750 0.500
0.500 0.500 0.000
```

Computed properties:
* volume: 16.9 A^3/atom
* energy of formation: -166 meV/atom


25.
Computed, not measured: a relaxed Rb2HBr crystal at the GGA-PBE level of DFT.

Geometry as POSCAR:
```
Rb2HBr
1.0
3.951 0.000 0.000
0.000 3.951 0.000
0.000 0.000 7.927
Rb H Br
2 1 1
direct
0.000 0.000 0.229
0.000 0.000 0.771
0.500 0.500 0.000
0.500 0.500 0.500
```

Computed properties:
* volume: 30.9 A^3/atom
* distance to the lowest polymorph of the same formula: 0.070 eV/atom


26.
Computed, not measured: a relaxed CePrNi crystal at the GGA-PBE level of DFT.

Geometry as POSCAR:
```
CePrNi
1.0
4.761 -1.781 0.000
4.761 1.781 0.000
-4.193 0.000 9.847
Ce Pr Ni
2 2 2
direct
0.192 0.192 0.129
0.808 0.808 0.871
0.418 0.418 0.615
0.582 0.582 0.385
0.457 0.457 0.098
0.543 0.543 0.902
```

Computed properties:
* volume: 27.8 A^3/atom
* energy of formation: 41 meV/atom
* distance to the lowest polymorph of the same formula: 0.140 eV/atom


27.
Computed, not measured: a relaxed Ba2PmAu2O6 crystal at the GGA-PBE level of DFT.

Geometry as POSCAR:
```
Ba2PmAu2O6
1.0
5.751 -2.928 0.000
5.751 2.928 0.000
-3.659 0.000 6.067
Ba Pm Au O
2 1 2 6
direct
0.212 0.212 0.166
0.788 0.788 0.834
0.000 0.000 0.500
0.426 0.426 0.717
0.574 0.574 0.283
0.185 0.658 0.202
0.227 0.227 0.589
0.342 0.815 0.798
0.658 0.185 0.202
0.773 0.773 0.411
0.815 0.342 0.798
```

Computed properties:
* formation energy without anion corrections: -37.9 kcal/mol of atoms
* volume: 18.6 A^3/atom